# 1
Compound: LiCaSi2
Source: the Alexandria database
Functional: GGA-PBE
Structure: relaxed Values from VASP.

Calculated values
As for the formation energy (no corrections): -325 meV/atom. The volume comes out at 21.6 Å³ per atom. The calculation puts the energy above the most stable polymorph in this dataset at 0.083 eV/atom. The total magnetization is 0.0 Bohr magnetons per cell.

Cell and atoms, written as Quantum ESPRESSO input:
```
&SYSTEM
  ibrav = 0, nat = 4, ntyp = 3
/
ATOMIC_SPECIES
Si 28.09 Si.upf
Li 6.94 Li.upf
Ca 40.08 Ca.upf
ATOMIC_POSITIONS crystal
Si 0.000 0.201 0.973
Si 0.500 0.066 0.243
Li 0.500 0.753 0.869
Ca 0.000 0.480 0.415
CELL_PARAMETERS angstrom
-0.879 -0.113 3.711
-1.560 -3.949 -0.489
3.988 -3.991 0.824
```


# 2
Compound: Li2CaSi2
Source: the Alexandria database
Functional: GGA-PBE
Structure: relaxed Values from VASP.

Calculated values
As for the formation energy (no corrections): -119 meV/atom. The volume comes out at 19.4 Å³ per atom. The calculation puts the energy above the most stable polymorph in this dataset at 0.206 eV/atom. The total magnetization is 0.0 Bohr magnetons per cell.

Cell and atoms, written as Quantum ESPRESSO input:
```
&SYSTEM
  ibrav = 0, nat = 10, ntyp = 3
/
ATOMIC_SPECIES
Si 28.09 Si.upf
Li 6.94 Li.upf
Ca 40.08 Ca.upf
ATOMIC_POSITIONS crystal
Si 0.389 0.889 0.000
Si 0.111 0.389 0.000
Si 0.889 0.611 0.000
Si 0.611 0.111 0.000
Li 0.827 0.327 0.500
Li 0.173 0.673 0.500
Li 0.327 0.173 0.500
Li 0.673 0.827 0.500
Ca 0.500 0.500 0.000
Ca 0.000 0.000 0.000
CELL_PARAMETERS angstrom
7.525 0.000 0.000
0.000 7.525 0.000
0.000 0.000 3.434
```


# 3
Compound: LiCaSi4
Source: the Alexandria database
Functional: GGA-PBE
Structure: relaxed Values from VASP.

Calculated values
As for the formation energy (no corrections): -127 meV/atom. The volume comes out at 16.8 Å³ per atom. The total magnetization is 0.0 Bohr magnetons per cell.

Cell and atoms, written as Quantum ESPRESSO input:
```
&SYSTEM
  ibrav = 0, nat = 6, ntyp = 3
/
ATOMIC_SPECIES
Li 6.94 Li.upf
Si 28.09 Si.upf
Ca 40.08 Ca.upf
ATOMIC_POSITIONS crystal
Li 0.000 0.000 0.000
Si 0.373 0.880 0.373
Si 0.880 0.373 0.373
Si 0.373 0.373 0.880
Si 0.373 0.373 0.373
Ca 0.750 0.750 0.750
CELL_PARAMETERS angstrom
3.378 -2.273 3.269
-1.676 -1.953 4.543
-0.144 -5.169 0.725
```


# 4
Compound: Li4CaSi4
Source: the Alexandria database
Functional: GGA-PBE
Structure: relaxed Values from VASP.

Calculated values
As for the formation energy (no corrections): -150 meV/atom. The volume comes out at 17.4 Å³ per atom. The total magnetization is 0.0 Bohr magnetons per cell.

Cell and atoms, written as Quantum ESPRESSO input:
```
&SYSTEM
  ibrav = 0, nat = 18, ntyp = 3
/
ATOMIC_SPECIES
Si 28.09 Si.upf
Li 6.94 Li.upf
Ca 40.08 Ca.upf
ATOMIC_POSITIONS crystal
Si 0.197 0.500 0.207
Si 0.000 0.303 0.707
Si 0.000 0.697 0.707
Si 0.303 0.000 0.293
Si 0.500 0.803 0.793
Si 0.803 0.500 0.207
Si 0.697 0.000 0.293
Si 0.500 0.197 0.793
Li 0.755 0.500 0.909
Li 0.245 0.500 0.909
Li 0.745 0.000 0.591
Li 0.500 0.245 0.091
Li 0.255 0.000 0.591
Li 0.000 0.255 0.409
Li 0.000 0.745 0.409
Li 0.500 0.755 0.091
Ca 0.000 0.000 0.000
Ca 0.500 0.500 0.500
CELL_PARAMETERS angstrom
5.967 0.000 0.000
0.000 5.967 0.000
0.000 0.000 8.820
```


# 5
Compound: LiCaSi2
Source: the Alexandria database
Functional: GGA-PBE
Structure: relaxed Values from VASP.

Calculated values
As for the formation energy (no corrections): -403 meV/atom. The volume comes out at 20.2 Å³ per atom. The calculation puts the energy above the most stable polymorph in this dataset at 0.005 eV/atom. The total magnetization is 0.0 Bohr magnetons per cell.

Cell and atoms, written as Quantum ESPRESSO input:
```
&SYSTEM
  ibrav = 0, nat = 16, ntyp = 3
/
ATOMIC_SPECIES
Ca 40.08 Ca.upf
Si 28.09 Si.upf
Li 6.94 Li.upf
ATOMIC_POSITIONS crystal
Ca 0.250 0.139 0.855
Ca 0.250 0.639 0.645
Ca 0.750 0.361 0.355
Ca 0.750 0.861 0.145
Si 0.750 0.967 0.667
Si 0.250 0.033 0.333
Si 0.250 0.533 0.167
Si 0.250 0.189 0.144
Si 0.750 0.311 0.644
Si 0.750 0.811 0.856
Si 0.250 0.689 0.356
Si 0.750 0.467 0.833
Li 0.250 0.129 0.557
Li 0.750 0.871 0.443
Li 0.250 0.629 0.943
Li 0.750 0.371 0.057
CELL_PARAMETERS angstrom
4.264 0.000 0.000
0.000 6.804 0.000
0.000 0.000 11.136
```


# 6
Compound: Li2CaSi6
Source: the Alexandria database
Functional: GGA-PBE
Structure: relaxed Values from VASP.

Calculated values
As for the formation energy (no corrections): -11 meV/atom. The volume comes out at 19.2 Å³ per atom. The total magnetization is 0.0 Bohr magnetons per cell.

Cell and atoms, written as Quantum ESPRESSO input:
```
&SYSTEM
  ibrav = 0, nat = 9, ntyp = 3
/
ATOMIC_SPECIES
Si 28.09 Si.upf
Ca 40.08 Ca.upf
Li 6.94 Li.upf
ATOMIC_POSITIONS crystal
Si 0.500 0.000 0.666
Si 0.500 0.334 0.334
Si 0.500 0.334 0.000
Si 0.500 0.666 0.666
Si 0.500 0.000 0.334
Si 0.500 0.666 0.000
Ca 0.000 0.000 0.000
Li 0.000 0.333 0.667
Li 0.000 0.667 0.333
CELL_PARAMETERS angstrom
4.163 0.000 0.000
0.000 5.998 -3.463
0.000 0.000 6.926
```


# 7
Compound: LiCaSi2
Source: the Alexandria database
Functional: GGA-PBE
Structure: relaxed Values from VASP.

Calculated values
As for the formation energy (no corrections): -99 meV/atom. The volume comes out at 23.5 Å³ per atom. The calculation puts the energy above the most stable polymorph in this dataset at 0.310 eV/atom. The total magnetization is 0.0 Bohr magnetons per cell.

Cell and atoms, written as Quantum ESPRESSO input:
```
&SYSTEM
  ibrav = 0, nat = 4, ntyp = 3
/
ATOMIC_SPECIES
Si 28.09 Si.upf
Ca 40.08 Ca.upf
Li 6.94 Li.upf
ATOMIC_POSITIONS crystal
Si 0.982 0.982 0.982
Si 0.279 0.279 0.279
Ca 0.521 0.521 0.521
Li 0.718 0.718 0.718
CELL_PARAMETERS angstrom
-1.815 7.282 0.322
-4.648 5.629 -1.772
-4.735 5.435 2.114
```


# 8
Compound: LiCaSi2
Source: the Alexandria database
Functional: GGA-PBE
Structure: relaxed Values from VASP.

Calculated values
As for the formation energy (no corrections): -39 meV/atom. The volume comes out at 17.8 Å³ per atom. The calculation puts the energy above the most stable polymorph in this dataset at 0.369 eV/atom. The total magnetization is 0.0 Bohr magnetons per cell.

Cell and atoms, written as Quantum ESPRESSO input:
```
&SYSTEM
  ibrav = 0, nat = 4, ntyp = 3
/
ATOMIC_SPECIES
Si 28.09 Si.upf
Li 6.94 Li.upf
Ca 40.08 Ca.upf
ATOMIC_POSITIONS crystal
Si 0.000 0.000 0.519
Si 0.000 0.000 0.981
Li 0.500 0.500 0.750
Ca 0.500 0.500 0.250
CELL_PARAMETERS angstrom
-1.267 1.114 2.327
0.822 -2.283 1.542
7.348 4.041 2.066
```